[1]
First-principles (PBE-GGA) data for a relaxed structure of LiCd5Au4, as listed in the Alexandria database.

```
LiCd5Au4
1.0
-2.9519 2.8627 1.7808
-2.3412 -4.9322 4.0478
6.0909 0.2238 4.0989
Cd Au Li
5 4 1
direct
0.5000 0.5000 0.0000 Cd
0.1654 0.4727 0.3309 Cd
0.8346 0.5273 0.6691 Cd
0.8263 0.9786 0.6526 Cd
0.1737 0.0214 0.3474 Cd
0.3398 0.2504 0.6796 Au
0.6602 0.7496 0.3204 Au
0.0081 0.7748 0.0162 Au
0.9919 0.2252 0.9838 Au
0.5000 0.0000 0.0000 Li
```

Output
Calculated density in g/cm3: 10.580
Space group: No. 12
Formation energy in eV per atom: -0.23


[2]
First-principles (PBE-GGA) data for a relaxed structure of LiCd2Au4, as listed in the Alexandria database.

```
LiCd2Au4
1.0
7.0517 -0.0101 -0.0464
-0.0196 7.0517 -0.0412
-3.5326 -3.5395 2.8747
Au Cd Li
4 2 1
direct
0.2978 0.7023 0.0001 Au
0.7035 0.7035 0.9991 Au
0.7023 0.2978 0.0001 Au
0.2966 0.2966 0.0011 Au
0.7490 0.2510 0.5001 Cd
0.2510 0.7490 0.5001 Cd
0.9998 0.9998 0.9996 Li
```

Output
Distance to the lowest polymorph of the same formula in kJ/mol of atoms: 5.1
Calculated density in g/cm3: 12.029
Space group: No. 12
Formation energy in eV per atom: -0.23


[3]
First-principles (PBE-GGA) data for a relaxed structure of Li5CdAu2, as listed in the Alexandria database.

```
Li5CdAu2
1.0
-0.4883 4.7956 -1.9246
0.0207 -4.4972 -2.5913
-13.5573 -0.8393 1.3482
Au Cd Li
4 2 10
direct
0.2460 0.7540 0.9273 Au
0.2460 0.7540 0.5727 Au
0.7540 0.2460 0.4273 Au
0.7540 0.2460 0.0727 Au
0.4107 0.5893 0.7500 Cd
0.5893 0.4107 0.2500 Cd
0.0917 0.9084 0.4042 Li
0.5971 0.4028 0.5909 Li
0.9083 0.0916 0.5958 Li
0.4029 0.5972 0.4091 Li
0.1184 0.8816 0.7500 Li
0.5972 0.4029 0.9091 Li
0.9084 0.0917 0.9042 Li
0.0916 0.9083 0.0958 Li
0.4028 0.5971 0.0909 Li
0.8816 0.1184 0.2500 Li
```

Output
Calculated density in g/cm3: 6.202
Space group: No. 63
Formation energy in eV per atom: -0.35


[4]
First-principles (PBE-GGA) data for a relaxed structure of Li3CdAu2, as listed in the Alexandria database.

```
Li3CdAu2
1.0
3.4433 0.0000 0.0000
0.0000 4.1449 -1.3722
0.0000 -0.0329 6.8468
Au Li Cd
2 3 1
direct
0.0000 0.3366 0.6732 Au
0.0000 0.6634 0.3268 Au
0.5000 0.8231 0.6463 Li
0.5000 0.1769 0.3537 Li
0.5000 0.5000 0.0000 Li
0.0000 0.0000 0.0000 Cd
```

Output
Distance to the lowest polymorph of the same formula in kJ/mol of atoms: 0.0
Calculated density in g/cm3: 8.973
Space group: No. 65
Formation energy in eV per atom: -0.46


[5]
First-principles (PBE-GGA) data for a relaxed structure of LiCd2Au, as listed in the Alexandria database.

```
LiCd2Au
1.0
-3.2296 -2.7142 -2.9042
0.1033 -4.9155 -1.4348
-2.6360 -2.5357 2.1803
Au Cd Li
1 2 1
direct
0.2500 0.2500 0.2500 Au
0.9999 0.9999 0.0001 Cd
0.7499 0.7499 0.7500 Cd
0.5002 0.5002 0.4998 Li
```

Output
Distance to the lowest polymorph of the same formula in kJ/mol of atoms: 2.6
Calculated density in g/cm3: 9.480
Space group: No. 119
Formation energy in eV per atom: -0.31


[6]
First-principles (PBE-GGA) data for a relaxed structure of Li2CdAu, as listed in the Alexandria database.

```
Li2CdAu
1.0
-0.7340 -0.6303 -3.2554
3.1284 0.4454 -0.7916
1.0684 -5.9012 0.9016
Au Cd Li
1 1 2
direct
0.5000 0.5000 0.2500 Au
0.5000 0.5000 0.7500 Cd
0.0000 0.0000 0.4765 Li
0.0000 0.0000 0.0235 Li
```

Output
Distance to the lowest polymorph of the same formula in kJ/mol of atoms: 1.5
Calculated density in g/cm3: 8.001
Space group: No. 47
Formation energy in eV per atom: -0.41


[7]
First-principles (PBE-GGA) data for a relaxed structure of LiCd12Au7, as listed in the Alexandria database.

```
LiCd12Au7
1.0
7.8396 0.0034 0.0051
-2.1766 7.5314 0.0051
-2.1766 -2.8961 6.9523
Au Cd Li
7 12 1
direct
0.0941 0.6817 0.9801 Au
0.5000 0.5000 0.5000 Au
0.6817 0.9801 0.0941 Au
0.9059 0.3183 0.0199 Au
0.3183 0.0199 0.9059 Au
0.9801 0.0941 0.6817 Au
0.0199 0.9059 0.3183 Au
0.6591 0.3615 0.2196 Cd
0.3615 0.2196 0.6591 Cd
0.6385 0.7804 0.3409 Cd
0.0332 0.2910 0.3989 Cd
0.2196 0.6591 0.3615 Cd
0.3409 0.6385 0.7804 Cd
0.7090 0.6011 0.9668 Cd
0.2910 0.3989 0.0332 Cd
0.6011 0.9668 0.7090 Cd
0.7804 0.3409 0.6385 Cd
0.3989 0.0332 0.2910 Cd
0.9668 0.7090 0.6011 Cd
0.0000 0.0000 0.0000 Li
```

Output
Distance to the lowest polymorph of the same formula in kJ/mol of atoms: 0.0
Calculated density in g/cm3: 11.055
Space group: No. 148
Formation energy in eV per atom: -0.16


[8]
First-principles (PBE-GGA) data for a relaxed structure of LiCdAu2, as listed in the Alexandria database.

```
LiCdAu2
1.0
4.2690 0.0000 0.0000
0.0000 4.2658 0.0000
0.0000 0.0000 3.9009
Au Li Cd
2 1 1
direct
0.0000 0.0000 0.0000 Au
0.5000 0.5000 0.0000 Au
0.0000 0.5000 0.5000 Li
0.5000 0.0000 0.5000 Cd
```

Output
Calculated density in g/cm3: 11.998
Space group: No. 123
Formation energy in eV per atom: -0.38


| no. | raw total energy (eV/atom) |
| --- | --- |
| 1 | -2.191 |
| 2 | -2.633 |
| 3 | -2.484 |
| 4 | -2.661 |
| 5 | -2.067 |
| 6 | -2.412 |
| 7 | -1.955 |
| 8 | -2.724 |